Record 1
Ti3HgPt (GGA-PBE, optimized geometry); density of states at the Fermi level = 1.451 states/eV per atom; ΔH_f (0 K) = 1.18 eV per atom; final energy = -24.13 eV per formula unit; crystal system = cubic; energy above the most stable polymorph in this dataset = 914.6 meV per atom
1.0
4.884 0.000 0.000
0.000 4.884 0.000
0.000 0.000 4.884
Hg Ti Pt
1 3 1
Cartesian
0.000 0.000 0.000
2.442 0.000 0.000
0.000 2.442 0.000
0.000 0.000 2.442
2.442 2.442 2.442


Record 2
K2Cd6InAg (GGA-PBE, optimized geometry); density of states at the Fermi level = 0.371 states/eV per atom; ΔH_f (0 K) = -0.06 eV per atom; final energy = -13.87 eV per formula unit; crystal system = triclinic
1.0
-6.955 1.501 -2.445
-2.817 -1.841 6.755
-4.398 4.879 3.841
Cd K Ag In
6 2 1 1
Cartesian
-2.977 0.558 0.197
-11.192 3.980 7.954
-3.458 2.210 2.718
-10.711 2.328 5.434
-4.036 0.139 4.837
-10.133 4.399 3.314
-7.263 2.250 1.887
-6.906 2.288 6.264
-4.886 -0.170 2.155
0.000 0.000 0.000


Record 3
SbPdAu2 (GGA-PBE, optimized geometry); density of states at the Fermi level = 0.516 states/eV per atom; ΔE_f (raw) = -3 kJ per mole of atoms; final energy = -16.00 eV per formula unit; crystal system = tetragonal
1.0
7.731 0.000 0.000
0.000 7.731 0.000
3.865 3.865 2.717
Sb Pd Au
2 2 4
Cartesian
0.000 0.000 0.000
7.731 3.865 1.359
3.865 3.865 0.000
3.865 7.731 1.359
1.949 5.798 0.679
5.782 1.933 0.679
9.664 9.648 2.038
5.798 5.814 2.038


Record 4
TaHgRu2 (GGA-PBE, optimized geometry); density of states at the Fermi level = 0.465 states/eV per atom; ΔH_f (0 K) = 0.18 eV per atom; final energy = -30.00 eV per formula unit; crystal system = monoclinic
1.0
-0.463 -3.567 -3.138
2.357 -3.603 -2.061
-1.170 -3.982 2.927
Ru Hg Ta
2 1 1
Cartesian
1.828 -7.177 -5.026
0.428 -5.569 -1.309
0.543 -8.364 -1.704
0.181 -2.788 -0.568


Record 5
LiNdIr (GGA-PBE, optimized geometry); density of states at the Fermi level = 0.332 states/eV per atom; ΔH_f (0 K) = -0.33 eV per atom; final energy = -16.54 eV per formula unit; crystal system = monoclinic; energy above the most stable polymorph in this dataset = 81.3 meV per atom
1.0
-1.451 -3.409 4.368
5.262 1.401 1.776
-2.800 3.624 -0.525
Nd Li Ir
2 2 2
Cartesian
2.932 -0.045 4.179
-1.921 1.662 1.441
-0.913 0.015 4.860
1.924 1.602 0.760
0.506 0.808 2.810
0.000 0.000 0.000


Record 6
Na3H4Pd7 (GGA-PBE, optimized geometry); density of states at the Fermi level = 0.329 states/eV per atom; final energy = -55.34 eV per formula unit; crystal system = triclinic
1.0
2.656 -0.164 1.106
0.709 6.890 2.971
0.062 -0.595 11.116
Pd H Na
7 4 3
Cartesian
0.671 4.064 2.684
1.261 5.201 5.183
2.757 2.068 12.509
1.792 5.919 7.777
2.167 0.930 10.010
0.000 0.000 0.000
1.636 0.213 7.416
1.836 2.384 11.015
2.311 -0.083 5.747
1.117 6.214 9.446
1.592 3.747 4.178
2.948 4.920 12.411
0.386 3.148 7.044
0.479 1.211 2.782


Record 7
LaScAl2Ag5 (GGA-PBE, optimized geometry); density of states at the Fermi level = 0.693 states/eV per atom; ΔH_f (0 K) = -0.07 eV per atom; final energy = -33.66 eV per formula unit; crystal system = tetragonal
1.0
4.781 0.000 0.000
0.000 4.781 0.000
0.000 0.000 8.377
Al Ag Sc La
2 5 1 1
Cartesian
2.391 2.391 7.106
2.391 2.391 1.272
2.391 2.391 4.189
2.391 0.000 6.239
2.391 0.000 2.138
0.000 2.391 2.138
0.000 2.391 6.239
0.000 0.000 0.000
0.000 0.000 4.189


Record 8
KBeSi2 (GGA-PBE, optimized geometry); density of states at the Fermi level = 0.290 states/eV per atom; ΔE_f (raw) = 20 kJ per mole of atoms; final energy = -14.84 eV per formula unit; crystal system = monoclinic
1.0
-3.254 -0.173 1.943
1.473 -2.562 2.240
2.743 3.523 4.909
Be Si K
1 2 1
Cartesian
-0.573 0.154 2.759
1.686 0.182 2.840
0.422 0.299 0.734
1.535 0.635 6.333


Record 9
LiFeRhN2 (GGA-PBE, optimized geometry); density of states at the Fermi level = 1.411 states/eV per atom; ΔE_f (raw) = 87 kJ per mole of atoms; final energy = -29.89 eV per formula unit; crystal system = tetragonal
1.0
3.527 0.000 0.000
0.000 5.031 0.000
0.000 0.000 3.527
Rh N Fe Li
1 2 1 1
Cartesian
0.000 2.515 0.000
0.000 0.000 1.764
1.764 0.000 0.000
0.000 0.000 0.000
1.764 2.515 1.764


Record 10
ScAgSe2N (GGA-PBE, optimized geometry); density of states at the Fermi level = 1.149 states/eV per atom; ΔE_f (raw) = 18 kJ per mole of atoms; final energy = -23.54 eV per formula unit; crystal system = tetragonal; energy above the most stable polymorph in this dataset = 0.0 meV per atom
1.0
-1.843 2.822 -4.012
1.792 -3.602 -3.357
-3.539 -1.979 0.234
Ag N Se Sc
1 1 2 1
Cartesian
-1.795 -1.380 -3.567
-1.770 -0.989 0.117
-0.922 1.411 -2.006
0.896 -1.801 -1.679
0.000 0.000 0.000


Record 11
Ac2NpBe2N6 (GGA-PBE, optimized geometry); density of states at the Fermi level = 0.664 states/eV per atom; ΔE_f (raw) = -90 kJ per mole of atoms; final energy = -88.88 eV per formula unit; crystal system = trigonal
1.0
-0.005 5.634 -0.388
-1.259 2.491 -4.909
-5.645 2.800 -0.380
Np Ac N Be
1 2 6 2
Cartesian
0.000 0.000 0.000
-2.129 2.738 -1.313
-4.780 8.187 -4.364
-4.590 4.137 -1.602
-2.317 3.982 -3.881
-5.217 5.378 -4.047
-2.319 6.787 -4.075
-4.592 6.942 -1.796
-1.692 5.547 -1.631
-2.206 5.441 -3.170
-4.703 5.484 -2.507


Record 12
AlCr2Sb (GGA-PBE, optimized geometry); density of states at the Fermi level = 0.860 states/eV per atom; ΔE_f (raw) = 23 kJ per mole of atoms; final energy = -26.17 eV per formula unit; crystal system = tetragonal; energy above the most stable polymorph in this dataset = 90.8 meV per atom
1.0
5.174 0.003 0.000
2.334 4.618 0.000
-3.754 -2.310 2.709
Cr Al Sb
2 1 1
Cartesian
1.167 2.309 1.355
0.000 0.000 0.000
2.587 0.002 1.355
3.754 2.310 0.000


Record 13
AcNi5As3 (GGA-PBE, optimized geometry); density of states at the Fermi level = 0.732 states/eV per atom; ΔH_f (0 K) = -0.58 eV per atom; final energy = -52.15 eV per formula unit; crystal system = orthorhombic
1.0
3.829 0.000 0.000
-1.915 6.111 0.000
0.000 0.000 11.997
Ni As Ac
10 6 2
Cartesian
0.000 2.357 11.176
0.000 2.357 6.820
0.000 0.000 0.000
1.915 0.568 10.248
1.915 3.754 0.822
0.000 0.000 5.999
1.915 3.754 5.177
0.000 5.543 4.249
1.915 0.568 7.748
0.000 5.543 1.750
1.915 1.480 5.551
1.915 1.480 0.448
0.000 1.350 8.998
0.000 4.631 6.447
0.000 4.631 11.549
1.915 4.761 2.999
0.000 2.030 2.999
1.915 4.081 8.998


Record 14
ErSc3Te3 (GGA-PBE, optimized geometry); density of states at the Fermi level = 1.002 states/eV per atom; ΔE_f (raw) = -86 kJ per mole of atoms; final energy = -39.24 eV per formula unit; crystal system = trigonal
1.0
8.557 0.000 0.000
4.278 7.410 0.000
4.278 2.470 5.786
Te Sc Er
6 6 2
Cartesian
11.168 4.504 1.566
5.945 5.377 4.221
9.485 2.460 4.221
7.629 7.420 1.566
6.873 2.897 1.566
10.241 6.984 4.221
10.747 7.420 1.282
7.504 8.077 4.504
9.609 1.804 1.282
5.314 5.597 1.282
6.367 2.460 4.504
11.800 4.284 4.504
12.835 7.410 5.752
4.278 2.470 0.034


Record 15
Ac4PrTm (GGA-PBE, optimized geometry); density of states at the Fermi level = 1.565 states/eV per atom; ΔH_f (0 K) = 0.36 eV per atom; final energy = -23.53 eV per formula unit; crystal system = cubic; energy above the most stable polymorph in this dataset = 315.5 meV per atom
1.0
7.155 0.000 0.000
3.578 6.196 0.000
3.578 2.065 5.842
Pr Tm Ac
1 1 4
Cartesian
3.578 2.065 1.461
0.000 0.000 0.000
7.155 4.131 0.717
5.355 5.170 3.656
7.155 2.053 3.656
8.955 5.170 3.656


Record 16
YAlIn2 (GGA-PBE, optimized geometry); density of states at the Fermi level = 0.310 states/eV per atom; ΔH_f (0 K) = -0.38 eV per atom; final energy = -17.21 eV per formula unit; crystal system = tetragonal
1.0
-1.820 0.894 4.092
-2.466 -3.761 -0.275
3.317 -2.319 1.982
In Al Y
2 1 1
Cartesian
0.425 -3.040 0.853
0.000 0.000 0.000
0.748 -0.712 3.037
-2.143 -1.434 1.909


Record 17
Sr2Fe2N3 (GGA-PBE, optimized geometry); density of states at the Fermi level = 0.746 states/eV per atom; ΔE_f (raw) = -38 kJ per mole of atoms; final energy = -48.05 eV per formula unit; crystal system = monoclinic
1.0
-2.289 -1.688 -1.955
4.401 -2.233 -3.225
0.431 -2.453 4.661
N Fe Sr
3 2 2
Cartesian
-0.196 -2.788 -0.411
2.200 -1.116 -1.612
2.738 -3.587 -0.109
0.906 -4.339 -0.360
1.637 -2.035 -0.159
0.235 -3.027 2.339
2.308 -3.347 -2.859


Record 18
MgTeAuI2 (GGA-PBE, optimized geometry); density of states at the Fermi level = 0.442 states/eV per atom; ΔE_f (raw) = 14 kJ per mole of atoms; final energy = -10.37 eV per formula unit; crystal system = tetragonal; energy above the most stable polymorph in this dataset = 0.0 meV per atom
1.0
-4.354 2.841 1.867
-3.245 -4.377 -0.907
1.053 -1.883 5.320
I Mg Au Te
2 1 1 1
Cartesian
-1.623 -2.189 -0.454
-2.177 1.421 0.934
-3.273 -1.710 3.140
0.000 0.000 0.000
0.526 -0.942 2.660


Record 19
Ag2AsPt (GGA-PBE, optimized geometry); density of states at the Fermi level = 0.305 states/eV per atom; ΔH_f (0 K) = 0.08 eV per atom; final energy = -16.06 eV per formula unit; crystal system = orthorhombic
1.0
3.057 0.000 0.000
0.000 4.688 0.000
0.000 0.000 4.859
Pt As Ag
1 1 2
Cartesian
0.000 2.344 2.430
1.529 0.000 2.430
0.000 0.000 0.000
1.529 2.344 0.000


Record 20
BeAg2Cl (GGA-PBE, optimized geometry); density of states at the Fermi level = 0.256 states/eV per atom; ΔE_f (raw) = 35 kJ per mole of atoms; final energy = -9.83 eV per formula unit; crystal system = monoclinic; energy above the most stable polymorph in this dataset = 474.9 meV per atom
1.0
-0.293 -3.984 4.946
-0.602 -1.754 -4.615
2.273 -1.905 0.439
Cl Ag Be
1 2 1
Cartesian
-0.447 -2.869 0.165
0.990 -2.944 2.693
0.000 0.000 0.000
0.836 -1.830 -2.088